Here is an optimized crystal structure of LiCdB2 from Alexandria. Energies are from PBE.

```
LiCdB2
1.0
-1.724 1.724 9.209
1.724 -1.724 9.209
1.724 1.724 -9.209
Li Cd B
2 2 4
direct
0.375 0.625 0.750
0.625 0.375 0.250
0.125 0.875 0.250
0.875 0.125 0.750
0.000 0.000 0.000
0.000 0.000 0.500
0.000 0.500 0.000
0.500 0.000 0.500
```

Output
Mass density   4.3 g cm⁻³
Energy relative to the elements   0.729 eV/atom
Final energy   -0.2438 Ry/atom
Spin magnetization   0.000 μB/f.u.